## Pa2NbFeN6 (PBE)

Data for a geometry-optimized Pa2NbFeN6 structure.

POSCAR file:
```
Pa2NbFeN6
1.0
5.269 0.000 0.000
0.000 5.269 0.000
0.000 0.000 4.884
Pa Nb Fe N
2 1 1 6
Direct
0.000 0.500 0.000
0.500 0.000 0.000
0.000 0.000 0.581
0.500 0.500 0.592
0.000 0.000 0.189
0.253 0.253 0.743
0.253 0.747 0.743
0.500 0.500 0.212
0.747 0.253 0.743
0.747 0.747 0.743
```

Summary:
- VASP energy: -9.5917 eV/atom
- Raw formation energy: -814 kJ/mol of formula units
- SG: P4mm, No. 99